DFT (PBE-GGA) results for crystalline Ba2LiGeO at its relaxed geometry.

Properties
calculated density = 4.74 g/cm3
total magnetization = 0.0 μB per formula unit
E_form (uncorrected) = -1.192 eV per atom

a b c (Å): 5.682 5.682 4.021
angles (deg): 90.00 90.00 90.00
Positions (direct):
Ge 0.500 0.500 0.500
Ba 0.000 0.500 0.000
Ba 0.500 0.000 0.000
O 0.000 0.000 0.000
Li 0.000 0.000 0.500